1.
DyYPtRh: relaxed, GGA-PBE.

abc: 4.900 4.900 4.900
angles: 60.00 60.00 60.00
Fractional coordinates of all 4 atoms:
Y 0.500 0.500 0.500
Rh 0.250 0.250 0.250
Pt 0.750 0.750 0.750
Dy 0.000 0.000 0.000

- ΔE_f: -1.035 eV/atom
- Space-group type: F-43m (216)
- ΔE to the lowest computed polymorph: 1.4 kJ/mol of atoms



2.
DyYPtRh: relaxed, GGA-PBE.

abc: 3.795 4.332 5.643
angles: 90.00 109.65 90.00
Fractional coordinates of all 4 atoms:
Dy 0.861 0.500 0.722
Y 0.143 0.000 0.286
Pt 0.585 0.500 0.170
Rh 0.411 0.000 0.822

- ΔE_f: -1.050 eV/atom
- Space-group type: Amm2 (38)
- ΔE to the lowest computed polymorph: 0.0 kJ/mol of atoms



3.
Dy5RuPt2: relaxed, GGA-PBE.

abc: 4.196 7.785 11.966
angles: 90.00 90.00 90.00
Fractional coordinates of all 16 atoms:
Dy 0.000 0.000 0.500
Dy 0.000 0.500 0.000
Dy 0.000 0.837 0.201
Dy 0.000 0.163 0.799
Dy 0.000 0.663 0.701
Dy 0.000 0.337 0.299
Dy 0.500 0.677 0.410
Dy 0.500 0.323 0.590
Dy 0.500 0.823 0.910
Dy 0.500 0.177 0.090
Ru 0.000 0.500 0.500
Ru 0.000 0.000 0.000
Pt 0.500 0.544 0.173
Pt 0.500 0.456 0.827
Pt 0.500 0.956 0.673
Pt 0.500 0.044 0.327

- ΔE_f: -0.807 eV/atom
- Space-group type: Pbam (55)



4.
Dy7Ru2Pt2: relaxed, GGA-PBE.

abc: 6.632 6.950 6.632
angles: 95.97 108.28 84.03
Fractional coordinates of all 11 atoms:
Dy 0.974 0.277 0.528
Dy 0.528 0.723 0.974
Dy 0.026 0.723 0.472
Dy 0.472 0.277 0.026
Dy 0.000 0.000 0.000
Dy 0.524 0.732 0.476
Dy 0.476 0.268 0.524
Ru 0.821 0.500 0.821
Ru 0.179 0.500 0.179
Pt 0.713 0.002 0.287
Pt 0.287 0.998 0.713

- ΔE_f: -0.418 eV/atom
- Space-group type: C2/m (12)



5.
Dy4RuPt: relaxed, GGA-PBE.

abc: 6.328 7.549 7.900
angles: 114.05 108.46 100.11
Fractional coordinates of all 12 atoms:
Dy 0.010 0.236 0.873
Dy 0.795 0.697 0.648
Dy 0.364 0.637 0.873
Dy 0.353 0.951 0.648
Dy 0.647 0.049 0.352
Dy 0.636 0.363 0.127
Dy 0.205 0.303 0.352
Dy 0.990 0.764 0.127
Ru 0.252 0.002 0.005
Ru 0.748 0.998 0.995
Pt 0.386 0.636 0.273
Pt 0.614 0.364 0.727

- ΔE_f: -0.646 eV/atom
- Space-group type: C2/c (15)
- ΔE to the lowest computed polymorph: 0.0 kJ/mol of atoms



6.
Dy6RuPt3: relaxed, GGA-PBE.

abc: 4.836 8.131 12.244
angles: 90.00 90.00 90.00
Fractional coordinates of all 20 atoms:
Dy 0.500 0.147 0.906
Dy 0.500 0.180 0.574
Dy 0.500 0.498 0.240
Dy 0.500 0.502 0.760
Dy 0.500 0.820 0.426
Dy 0.500 0.853 0.094
Dy 0.000 0.353 0.406
Dy 0.000 0.320 0.074
Dy 0.000 0.002 0.740
Dy 0.000 0.998 0.260
Dy 0.000 0.680 0.926
Dy 0.000 0.647 0.594
Ru 0.500 0.500 0.500
Ru 0.000 0.000 0.000
Pt 0.500 0.832 0.668
Pt 0.500 0.500 0.000
Pt 0.500 0.168 0.332
Pt 0.000 0.668 0.168
Pt 0.000 0.000 0.500
Pt 0.000 0.332 0.832

- ΔE_f: -0.776 eV/atom
- Space-group type: Pnnm (58)



7.
Dy2RuPt: relaxed, GGA-PBE.

abc: 3.470 3.470 6.784
angles: 90.00 90.00 90.00
Fractional coordinates of all 4 atoms:
Ru 0.500 0.500 0.000
Pt 0.500 0.500 0.500
Dy 0.000 0.000 0.755
Dy 0.000 0.000 0.245

- ΔE_f: -0.834 eV/atom
- Space-group type: P4/mmm (123)



8.
Dy3RuPt: relaxed, GGA-PBE.

abc: 8.101 7.628 7.628
angles: 89.03 89.25 89.25
Fractional coordinates of all 20 atoms:
Dy 0.584 0.806 0.031
Dy 0.916 0.969 0.194
Dy 0.416 0.194 0.969
Dy 0.084 0.031 0.806
Dy 0.823 0.422 0.070
Dy 0.677 0.930 0.578
Dy 0.177 0.578 0.930
Dy 0.323 0.070 0.422
Dy 0.586 0.504 0.699
Dy 0.914 0.301 0.496
Dy 0.414 0.496 0.301
Dy 0.086 0.699 0.504
Ru 0.865 0.723 0.813
Ru 0.635 0.187 0.277
Ru 0.135 0.277 0.187
Ru 0.365 0.813 0.723
Pt 0.250 0.874 0.126
Pt 0.750 0.126 0.874
Pt 0.250 0.375 0.625
Pt 0.750 0.625 0.375

- ΔE_f: -0.619 eV/atom
- Space-group type: C2/c (15)
- ΔE to the lowest computed polymorph: 7.4 kJ/mol of atoms



9.
Dy6Ru2Pt: relaxed, GGA-PBE.

abc: 6.610 7.385 9.558
angles: 90.00 88.37 90.00
Fractional coordinates of all 18 atoms:
Dy 0.835 0.945 0.239
Dy 0.825 0.667 0.569
Dy 0.849 0.675 0.924
Dy 0.651 0.175 0.576
Dy 0.675 0.167 0.931
Dy 0.665 0.445 0.261
Dy 0.165 0.055 0.761
Dy 0.175 0.333 0.431
Dy 0.151 0.325 0.076
Dy 0.349 0.825 0.424
Dy 0.325 0.833 0.069
Dy 0.335 0.555 0.739
Ru 0.965 0.384 0.735
Ru 0.535 0.884 0.765
Ru 0.465 0.116 0.235
Ru 0.035 0.616 0.265
Pt 0.500 0.500 0.000
Pt 0.000 0.000 0.500

- ΔE_f: -0.466 eV/atom
- Space-group type: P2_1/c (14)
- ΔE to the lowest computed polymorph: 4.4 kJ/mol of atoms



10.
Dy3RuPt: relaxed, GGA-PBE.

abc: 8.055 7.302 8.573
angles: 90.00 72.14 90.00
Fractional coordinates of all 20 atoms:
Dy 0.398 0.153 0.777
Dy 0.602 0.847 0.223
Dy 0.102 0.653 0.223
Dy 0.898 0.347 0.777
Dy 0.515 0.691 0.858
Dy 0.485 0.309 0.142
Dy 0.985 0.191 0.142
Dy 0.015 0.809 0.858
Dy 0.786 0.996 0.543
Dy 0.214 0.004 0.457
Dy 0.714 0.496 0.457
Dy 0.286 0.504 0.543
Ru 0.464 0.817 0.575
Ru 0.536 0.183 0.425
Ru 0.036 0.317 0.425
Ru 0.964 0.683 0.575
Pt 0.696 0.037 0.908
Pt 0.304 0.963 0.092
Pt 0.804 0.537 0.092
Pt 0.196 0.463 0.908

- ΔE_f: -0.695 eV/atom
- Space-group type: P2_1/c (14)
- ΔE to the lowest computed polymorph: 0.0 kJ/mol of atoms



11.
Dy4RuPt: relaxed, GGA-PBE.

abc: 6.854 6.857 6.891
angles: 90.00 91.51 90.00
Fractional coordinates of all 12 atoms:
Dy 0.842 0.664 0.173
Dy 0.658 0.164 0.827
Dy 0.326 0.334 0.339
Dy 0.174 0.834 0.661
Dy 0.158 0.336 0.827
Dy 0.342 0.836 0.173
Dy 0.674 0.666 0.661
Dy 0.826 0.166 0.339
Ru 0.500 0.000 0.500
Ru 0.000 0.500 0.500
Pt 0.000 0.000 0.000
Pt 0.500 0.500 0.000

- ΔE_f: -0.580 eV/atom
- Space-group type: P2_1/c (14)
- ΔE to the lowest computed polymorph: 6.4 kJ/mol of atoms



12.
Dy6Ru2Pt: relaxed, GGA-PBE.

abc: 8.309 8.309 8.309
angles: 106.16 111.00 111.30
Fractional coordinates of all 18 atoms:
Dy 0.555 0.732 0.822
Dy 0.445 0.268 0.178
Dy 0.090 0.268 0.822
Dy 0.910 0.732 0.178
Dy 0.810 0.747 0.558
Dy 0.190 0.253 0.442
Dy 0.190 0.747 0.937
Dy 0.810 0.253 0.063
Dy 0.687 0.356 0.669
Dy 0.313 0.644 0.331
Dy 0.313 0.983 0.669
Dy 0.687 0.017 0.331
Ru 0.500 0.376 0.876
Ru 0.500 0.624 0.124
Ru 0.673 0.000 0.673
Ru 0.327 0.000 0.327
Pt 0.000 0.500 0.500
Pt 0.000 0.000 0.000

- ΔE_f: -0.512 eV/atom
- Space-group type: Immm (71)
- ΔE to the lowest computed polymorph: 0.0 kJ/mol of atoms



13.
Dy4RuPt3: relaxed, GGA-PBE.

abc: 3.450 3.450 14.005
angles: 90.00 90.00 90.00
Fractional coordinates of all 8 atoms:
Ru 0.500 0.500 0.000
Pt 0.500 0.500 0.248
Pt 0.500 0.500 0.500
Pt 0.500 0.500 0.752
Dy 0.000 0.000 0.880
Dy 0.000 0.000 0.120
Dy 0.000 0.000 0.373
Dy 0.000 0.000 0.627

- ΔE_f: -1.037 eV/atom
- Space-group type: P4/mmm (123)



14.
Dy5Ru4Pt: relaxed, GGA-PBE.

abc: 3.431 3.431 16.918
angles: 90.00 90.00 90.00
Fractional coordinates of all 10 atoms:
Dy 0.500 0.500 0.103
Dy 0.500 0.500 0.301
Dy 0.500 0.500 0.500
Dy 0.500 0.500 0.699
Dy 0.500 0.500 0.897
Ru 0.000 0.000 0.199
Ru 0.000 0.000 0.400
Ru 0.000 0.000 0.600
Ru 0.000 0.000 0.801
Pt 0.000 0.000 0.000

- ΔE_f: -0.535 eV/atom
- Space-group type: P4/mmm (123)



15.
Dy5Ru2Pt: relaxed, GGA-PBE.

abc: 7.461 7.461 8.581
angles: 115.77 115.77 90.00
Fractional coordinates of all 16 atoms:
Dy 0.530 0.691 0.721
Dy 0.809 0.970 0.279
Dy 0.000 0.000 0.000
Dy 0.500 0.500 0.000
Dy 0.191 0.030 0.721
Dy 0.691 0.191 0.721
Dy 0.030 0.530 0.721
Dy 0.309 0.809 0.279
Dy 0.970 0.470 0.279
Dy 0.470 0.309 0.279
Ru 0.133 0.367 0.000
Ru 0.633 0.133 0.000
Ru 0.367 0.867 0.000
Ru 0.867 0.633 0.000
Pt 0.750 0.750 0.500
Pt 0.250 0.250 0.500

- ΔE_f: -0.586 eV/atom
- Space-group type: I4/mcm (140)



16.
DySi2RuPt: relaxed, GGA-PBE.

abc: 4.084 4.084 5.787
angles: 110.66 110.66 90.00
Fractional coordinates of all 5 atoms:
Dy 0.000 0.000 0.000
Si 0.620 0.620 0.241
Si 0.380 0.380 0.759
Ru 0.750 0.250 0.500
Pt 0.250 0.750 0.500

- Formation energy (no corrections): -1.026 eV per atom
- Space-group type: I-4m2 (119)



17.
DySnRuPt: relaxed, GGA-PBE.

abc: 4.738 4.738 4.738
angles: 60.00 60.00 60.00
Fractional coordinates of all 4 atoms:
Ru 0.250 0.250 0.250
Sn 0.500 0.500 0.500
Pt 0.750 0.750 0.750
Dy 0.000 0.000 0.000

- ΔE_f: -0.572 eV/atom
- Space-group type: F-43m (216)



18.
TbDyRuPt: relaxed, GGA-PBE.

abc: 4.880 4.880 4.880
angles: 60.00 60.00 60.00
Fractional coordinates of all 4 atoms:
Ru 0.250 0.250 0.250
Tb 0.000 0.000 0.000
Pt 0.750 0.750 0.750
Dy 0.500 0.500 0.500

- ΔE_f: -0.774 eV/atom
- Space-group type: F-43m (216)
- ΔE to the lowest computed polymorph: 4.3 kJ/mol of atoms



19.
TbDyRuPt: relaxed, GGA-PBE.

abc: 3.475 3.475 6.810
angles: 90.00 90.00 90.00
Fractional coordinates of all 4 atoms:
Tb 0.500 0.500 0.112
Dy 0.500 0.500 0.602
Ru 0.000 0.000 0.358
Pt 0.000 0.000 0.855

- ΔE_f: -0.818 eV/atom
- Space-group type: P4mm (99)
- ΔE to the lowest computed polymorph: 0.0 kJ/mol of atoms



20.
Dy5Tl2Ru2Pt: relaxed, GGA-PBE.

abc: 3.505 11.757 11.757
angles: 90.00 90.00 90.00
Fractional coordinates of all 20 atoms:
Dy 0.500 0.198 0.069
Dy 0.500 0.802 0.931
Dy 0.500 0.069 0.802
Dy 0.500 0.698 0.431
Dy 0.500 0.931 0.198
Dy 0.500 0.302 0.569
Dy 0.500 0.569 0.698
Dy 0.500 0.431 0.302
Dy 0.500 0.500 0.000
Dy 0.500 0.000 0.500
Tl 0.000 0.678 0.178
Tl 0.000 0.322 0.822
Tl 0.000 0.178 0.322
Tl 0.000 0.822 0.678
Ru 0.000 0.136 0.636
Ru 0.000 0.864 0.364
Ru 0.000 0.636 0.864
Ru 0.000 0.364 0.136
Pt 0.000 0.000 0.000
Pt 0.000 0.500 0.500

- ΔE_f: -0.470 eV/atom
- Space-group type: P4/mbm (127)



21.
DyZrRuPt: relaxed, GGA-PBE.

abc: 4.777 4.777 4.777
angles: 60.00 60.00 60.00
Fractional coordinates of all 4 atoms:
Ru 0.750 0.750 0.750
Zr 0.000 0.000 0.000
Pt 0.250 0.250 0.250
Dy 0.500 0.500 0.500

- ΔE_f: -0.733 eV/atom
- Space-group type: F-43m (216)